DFT (PBE+U) results for a relaxed NaNiF3 crystal.

The structure in CIF format:
```
data_NaNiF3
_symmetry_space_group_name_H-M 'P 1'
_symmetry_Int_Tables_number 1
_symmetry_space_group_name_Hall 'P 1'
_cell_length_a 3.0485
_cell_length_b 5.2940
_cell_length_c 7.4452
_cell_angle_alpha 90.00
_cell_angle_beta 90.00
_cell_angle_gamma 106.77
loop_
_atom_site_label
_atom_site_type_symbol
_atom_site_fract_x
_atom_site_fract_y
_atom_site_fract_z
F1 F 0.3714 0.7438 0.7011
F2 F 0.3716 0.7439 0.3171
F3 F 0.6284 0.2561 0.8171
F4 F 0.9235 0.8479 0.0090
F5 F 0.6286 0.2562 0.2011
F6 F 0.0765 0.1521 0.5090
Ni1 Ni 0.0001 0.0000 0.2590
Ni2 Ni 0.9999 0.0000 0.7590
Na1 Na 0.7468 0.4913 0.5092
Na2 Na 0.2532 0.5087 0.0092
```

Fermi-level density of states, states/eV/cell: 0.00
VASP energy, eV per atom: -4.318
Space group: No. 63